[1]
Compound: Th8SiSe6
Source: the Alexandria database
Functional: PBE
Structure: optimized geometry

- formation energy (no corrections) (meV per atom) = -1019
- Fermi-level density of states (states/eV per atom) = 0.9874
- space-group type = No. 147
- crystal system = trigonal

Lattice parameters (Å, degrees): 4.259 10.596 10.596 120.00 90.00 90.00
Sites, in units of the cell vectors:
1 Se 0.247 0.366 0.878
2 Se 0.753 0.634 0.122
3 Se 0.753 0.878 0.511
4 Se 0.247 0.511 0.634
5 Se 0.753 0.489 0.366
6 Se 0.247 0.122 0.489
7 Th 0.742 0.967 0.268
8 Th 0.253 0.667 0.333
9 Th 0.742 0.732 0.699
10 Th 0.258 0.268 0.301
11 Th 0.258 0.033 0.732
12 Th 0.258 0.699 0.967
13 Th 0.747 0.333 0.667
14 Th 0.742 0.301 0.033
15 Si 0.500 0.000 0.000

---

[2]
Compound: Cs3Cu2NiBr9
Source: the Alexandria database
Functional: PBE
Structure: optimized geometry

- formation energy (no corrections) (meV per atom) = -872
- Fermi-level density of states (states/eV per atom) = 0.3485
- space-group type = No. 164
- crystal system = trigonal

Lattice parameters (Å, degrees): 7.435 7.435 9.073 90.00 90.00 120.00
Site moments in Bohr magnetons follow the coordinates.
Sites, in units of the cell vectors:
1 Br 0.000 0.500 0.000  -0.02
2 Br 0.500 0.000 0.000  -0.02
3 Br 0.324 0.162 0.661  0.00
4 Br 0.162 0.838 0.339  0.00
5 Br 0.838 0.162 0.661  0.00
6 Br 0.162 0.324 0.339  0.00
7 Br 0.676 0.838 0.339  0.00
8 Br 0.500 0.500 0.000  -0.02
9 Br 0.838 0.676 0.661  0.00
10 Cs 0.000 0.000 0.000  0.00
11 Cs 0.333 0.667 0.668  0.00
12 Cs 0.667 0.333 0.332  0.00
13 Cu 0.667 0.333 0.837  -0.10
14 Cu 0.333 0.667 0.163  -0.10
15 Ni 0.000 0.000 0.500  0.53

---

Question: Look up the formation energy (no corrections) of the second one.
Answer: -872 meV per atom

---

Question: Among the records above, which one has the lowest Fermi-level density of states?
Answer: Cs3Cu2NiBr9

---

Please write out number 1 again, unchanged.
Compound: Th8SiSe6
Source: the Alexandria database
Functional: PBE
Structure: optimized geometry

- formation energy (no corrections) (meV per atom) = -1019
- Fermi-level density of states (states/eV per atom) = 0.9874
- space-group type = No. 147
- crystal system = trigonal

Lattice parameters (Å, degrees): 4.259 10.596 10.596 120.00 90.00 90.00
Sites, in units of the cell vectors:
1 Se 0.247 0.366 0.878
2 Se 0.753 0.634 0.122
3 Se 0.753 0.878 0.511
4 Se 0.247 0.511 0.634
5 Se 0.753 0.489 0.366
6 Se 0.247 0.122 0.489
7 Th 0.742 0.967 0.268
8 Th 0.253 0.667 0.333
9 Th 0.742 0.732 0.699
10 Th 0.258 0.268 0.301
11 Th 0.258 0.033 0.732
12 Th 0.258 0.699 0.967
13 Th 0.747 0.333 0.667
14 Th 0.742 0.301 0.033
15 Si 0.500 0.000 0.000

---

Question: Number 2 is which compound?
Answer: Cs3Cu2NiBr9